No. 1
Pr2P2Pd: optimized geometry, GGA-PBE.

Values from the calculation:
Energy of formation (eV/atom): -1.19

abc: 10.9954 4.1767 10.4109
angles: 90.00 112.55 90.00
Space group C2/m (No. 12)
Unique sites:
Pr  0.0925  0.0000  0.4042 (multiplicity 4)
Pr  0.1988  0.5000  0.1459 (multiplicity 4)
P  0.0401  0.0000  0.9137 (multiplicity 4)
P  0.1586  0.5000  0.6339 (multiplicity 4)
Pd  0.0732  0.5000  0.8211 (multiplicity 4)

=====

No. 2
Ac2PuGe: optimized geometry, GGA-PBE.

Values from the calculation:
E above lowest polymorph (eV per atom): 0.3215
Energy of formation (eV/atom): 0.21

abc: 3.9068 3.9068 34.7925
angles: 90.00 90.00 120.00
Space group R-3m (No. 166, hexagonal axes)
Unique sites:
Ac  0.0000  0.0000  0.1045 (multiplicity 6)
Pu  0.0000  0.0000  0.0000 (multiplicity 3)
Ge  0.0000  0.0000  0.5000 (multiplicity 3)

=====

No. 3
LaCe3Zn3: optimized geometry, GGA-PBE.

Values from the calculation:
Energy of formation (eV/atom): 0.50

abc: 7.8800 7.8800 7.8800
angles: 90.00 90.00 90.00
Space group Pm-3n (No. 223)
Unique sites:
La  0.0000  0.0000  0.0000 (multiplicity 2)
Ce  0.0000  0.2500  0.5000 (multiplicity 6)
Zn  0.0000  0.5000  0.2500 (multiplicity 6)

=====

No. 4
LuTiTlCd: optimized geometry, GGA-PBE.

Values from the calculation:
Energy of formation (eV/atom): -0.02

abc: 7.0731 7.0731 7.0731
angles: 90.00 90.00 90.00
Space group F-43m (No. 216)
Unique sites:
Lu  0.0000  0.0000  0.0000 (multiplicity 4)
Ti  0.0000  0.0000  0.5000 (multiplicity 4)
Tl  0.2500  0.2500  0.7500 (multiplicity 4)
Cd  0.2500  0.2500  0.2500 (multiplicity 4)

=====

No. 5
LaTm5Pb6: optimized geometry, GGA-PBE.

Values from the calculation:
E above lowest polymorph (eV per atom): 0.0000
Energy of formation (eV/atom): -0.40

abc: 6.1450 15.3295 7.7241
angles: 90.00 103.95 90.00
Space group C2/m (No. 12)
Unique sites:
La  0.0000  0.0000  0.0000 (multiplicity 2)
Tm  0.0000  0.0000  0.5000 (multiplicity 2)
Tm  0.0000  0.3279  0.0000 (multiplicity 4)
Tm  0.0000  0.3445  0.5000 (multiplicity 4)
Pb  0.0041  0.1726  0.7353 (multiplicity 8)
Pb  0.0197  0.5000  0.2402 (multiplicity 4)

=====

No. 6
Ac2Ga3Cu4: optimized geometry, GGA-PBE.

Values from the calculation:
Energy of formation (eV/atom): -0.25

abc: 6.2877 15.8299 7.2389
angles: 90.00 90.00 90.00
Space group Cmce (No. 64)
Unique sites:
Ac  0.0000  0.1143  0.0877 (multiplicity 8)
Ga  0.0000  0.0000  0.5000 (multiplicity 4)
Ga  0.2500  0.2295  0.7500 (multiplicity 8)
Cu  0.0000  0.1632  0.5197 (multiplicity 8)
Cu  0.2500  0.0627  0.7500 (multiplicity 8)

=====

No. 7
ScAlRuAu: optimized geometry, GGA-PBE.

Values from the calculation:
Energy of formation (eV/atom): -0.58

abc: 6.3867 6.3867 6.3867
angles: 90.00 90.00 90.00
Space group F-43m (No. 216)
Unique sites:
Sc  0.0000  0.0000  0.0000 (multiplicity 4)
Al  0.0000  0.0000  0.5000 (multiplicity 4)
Ru  0.2500  0.2500  0.2500 (multiplicity 4)
Au  0.2500  0.2500  0.7500 (multiplicity 4)

=====

No. 8
KCdInBrO: optimized geometry, GGA-PBE.

Values from the calculation:
E above lowest polymorph (eV per atom): 0.0980
Formation energy (no corrections) (eV/f.u.): -4.3

abc: 3.6226 6.2130 7.0066
angles: 115.57 90.28 106.60
Space group P1 (No. 1)
Unique sites:
K  0.0000  0.0000  0.0000 (multiplicity 1)
Cd  0.5760  0.1409  0.5457 (multiplicity 1)
In  0.2974  0.5859  0.4209 (multiplicity 1)
Br  0.2668  0.5276  0.9608 (multiplicity 1)
O  0.6775  0.3428  0.3362 (multiplicity 1)

=====

No. 9
BaIrRh2: optimized geometry, GGA-PBE.

Values from the calculation:
E above lowest polymorph (eV per atom): 0.5547
Energy of formation (eV/atom): 0.53

abc: 3.5979 5.3896 9.0627
angles: 90.00 90.00 90.00
Space group Immm (No. 71)
Unique sites:
Ba  0.0000  0.0000  0.0000 (multiplicity 2)
Ir  0.0000  0.0000  0.5000 (multiplicity 2)
Rh  0.0000  0.5000  0.1956 (multiplicity 4)

=====

No. 10
LaNiSn2Rh4: optimized geometry, GGA-PBE.

Values from the calculation:
Energy of formation (eV/atom): -0.49

abc: 4.4547 4.4547 25.2839
angles: 90.00 90.00 120.00
Space group R-3m (No. 166, hexagonal axes)
Unique sites:
La  0.0000  0.0000  0.0000 (multiplicity 3)
Ni  0.0000  0.0000  0.5000 (multiplicity 3)
Sn  0.0000  0.0000  0.2366 (multiplicity 6)
Rh  0.0000  0.0000  0.1299 (multiplicity 6)
Rh  0.0000  0.0000  0.4000 (multiplicity 6)

=====

No. 11
TaSb2HI: optimized geometry, GGA-PBE.

Values from the calculation:
E above lowest polymorph (eV per atom): 0.0000

abc: 5.3372 5.3372 5.8238
angles: 90.00 90.00 90.00
Space group P4/mmm (No. 123)
Unique sites:
Ta  0.0000  0.0000  0.0000 (multiplicity 1)
Sb  0.0000  0.5000  0.0000 (multiplicity 2)
H  0.5000  0.5000  0.5000 (multiplicity 1)
I  0.0000  0.0000  0.5000 (multiplicity 1)

=====

No. 12
Ir2NO: optimized geometry, GGA-PBE.

Values from the calculation:
E above lowest polymorph (eV per atom): 0.0000
Formation energy (no corrections) (eV/f.u.): 2.1

abc: 4.6715 4.6715 9.6736
angles: 90.00 90.00 90.00
Space group I-42d (No. 122)
Unique sites:
Ir  0.2031  0.2500  0.1250 (multiplicity 8)
N  0.0000  0.0000  0.0000 (multiplicity 4)
O  0.0000  0.0000  0.5000 (multiplicity 4)

=====

No. 13
CsU2PdSe4: optimized geometry, GGA-PBE.

Values from the calculation:
Formation energy (no corrections) (eV/f.u.): -8.4

abc: 4.2122 14.6081 14.5416
angles: 90.00 90.00 90.00
Space group Cmcm (No. 63)
Unique sites:
Cs  0.0000  0.1115  0.2500 (multiplicity 4)
U  0.0000  0.3677  0.0657 (multiplicity 8)
Pd  0.0000  0.1650  0.7500 (multiplicity 4)
Se  0.0000  0.0000  0.0000 (multiplicity 4)
Se  0.0000  0.2604  0.6019 (multiplicity 8)
Se  0.0000  0.4305  0.2500 (multiplicity 4)

=====

No. 14
NdMgScRu: optimized geometry, GGA-PBE.

Values from the calculation:
Energy of formation (eV/atom): -0.13

abc: 7.0266 7.0266 7.0266
angles: 90.00 90.00 90.00
Space group F-43m (No. 216)
Unique sites:
Nd  0.0000  0.0000  0.0000 (multiplicity 4)
Mg  0.2500  0.2500  0.2500 (multiplicity 4)
Sc  0.0000  0.0000  0.5000 (multiplicity 4)
Ru  0.2500  0.2500  0.7500 (multiplicity 4)

=====

no.,spin magnetization (μB per formula unit),calculated total energy (eV/atom)
1,0.0,-6.31
2,6.8,-6.58
3,3.1,-3.29
4,0.0,-3.94
5,0.0,-4.53
6,0.0,-3.99
7,0.0,-6.24
8,0.0,-3.14
9,1.8,-5.84
10,0.2,-6.50
11,1.0,-4.24
12,0.0,-7.23
13,5.0,-6.37
14,0.0,-5.62